Computed, not measured: an optimized crystal structure of Pu4GePt at the PBE level of DFT.

Unit cell a=5.2168 b=5.2168 c=6.9354 alpha=67.91 beta=67.91 gamma=60.00
Last column: nearest neighbours and their distance in Å.
Positions (direct):
Pu 0.1469 0.1469 0.5594  1 Pt 2.75, 3 Ge 3.03
Pu 0.8531 0.8531 0.4406  1 Pt 2.75, 3 Ge 3.03
Pt 0.0000 0.0000 0.0000  8 Pu 2.75-3.02
Pu 0.3422 0.3422 0.9733  1 Ge 2.96, 3 Pt 3.02, 3 Pu 3.03
Ge 0.5000 0.5000 0.5000  8 Pu 2.96-3.03
Pu 0.6578 0.6578 0.0267  1 Ge 2.96, 3 Pt 3.02, 3 Pu 3.03

Calculated values
The calculation puts the distance to the lowest polymorph of the same formula at 0.0 kJ/mol of formula units. As for the space-group type: R-3m. The energy of formation from the pure elements is -0.31 eV/atom.


Computed, not measured: an optimized crystal structure of Pu2Ge3Pt at the PBE level of DFT.

Unit cell a=3.8818 b=4.4247 c=7.3550 alpha=90.00 beta=90.00 gamma=90.00
Last column: nearest neighbours and their distance in Å.
Positions (direct):
Ge 0.5000 0.0000 0.8312  3 Ge 2.48-2.52
Pu 0.0000 0.0000 0.5006  8 Ge 3.11-3.19, 4 Pt 3.20
Ge 0.5000 0.0000 0.1688  1 Ge 2.48, 2 Pt 2.51
Ge 0.5000 0.5000 0.6678  1 Pt 2.49, 2 Ge 2.52
Pu 0.0000 0.5000 0.0027  2 Pt 3.09, 10 Ge 3.14-3.20
Pt 0.5000 0.5000 0.3289  3 Ge 2.49-2.51

Calculated values
The calculation puts the distance to the lowest polymorph of the same formula at 4.8 kJ/mol of formula units. As for the space-group type: Pmm2. The energy of formation from the pure elements is -0.55 eV/atom.


Computed, not measured: an optimized crystal structure of PuGe12Pt4 at the PBE level of DFT.

Unit cell a=7.5382 b=7.5382 c=7.5382 alpha=109.47 beta=109.47 gamma=109.47
Last column: nearest neighbours and their distance in Å.
Positions (direct):
Pt 0.5000 0.5000 0.5000  6 Ge 2.51
Ge 0.1495 0.6474 0.7968  2 Pt 2.51, 2 Ge 2.57-2.60
Ge 0.7968 0.1495 0.6474  2 Pt 2.51, 2 Ge 2.57-2.60
Ge 0.4979 0.8505 0.6474  2 Pt 2.51, 2 Ge 2.57-2.60
Ge 0.3526 0.2032 0.8505  2 Pt 2.51, 2 Ge 2.57-2.60
Pt 0.5000 0.0000 0.0000  6 Ge 2.51
Ge 0.2032 0.8505 0.3526  2 Pt 2.51, 2 Ge 2.57-2.60
Pu 0.0000 0.0000 0.0000  12 Ge 3.33
Ge 0.6474 0.4979 0.8505  2 Pt 2.51, 2 Ge 2.57-2.60
Pt 0.0000 0.5000 0.0000  6 Ge 2.51
Ge 0.1495 0.3526 0.5021  2 Pt 2.51, 2 Ge 2.57-2.60
Ge 0.3526 0.5021 0.1495  2 Pt 2.51, 2 Ge 2.57-2.60
Ge 0.8505 0.6474 0.4979  2 Pt 2.51, 2 Ge 2.57-2.60
Ge 0.5021 0.1495 0.3526  2 Pt 2.51, 2 Ge 2.57-2.60
Ge 0.8505 0.3526 0.2032  2 Pt 2.51, 2 Ge 2.57-2.60
Pt 0.0000 0.0000 0.5000  6 Ge 2.51
Ge 0.6474 0.7968 0.1495  2 Pt 2.51, 2 Ge 2.57-2.60

Calculated values
As for the space-group type: Im-3. The energy of formation from the pure elements is -0.34 eV/atom.


Computed, not measured: an optimized crystal structure of Pu4GePt2 at the PBE level of DFT.

Unit cell a=7.5779 b=7.5779 c=7.5779 alpha=109.01 beta=110.39 gamma=109.01
Last column: nearest neighbours and their distance in Å.
Positions (direct):
Pu 0.4778 0.1024 0.2297  4 Pt 2.90-3.15, 2 Ge 2.96-3.10
Pu 0.6227 0.7481 0.0203  4 Pt 2.90-3.15, 2 Ge 2.96-3.10
Ge 0.7500 0.5000 0.2500  8 Pu 2.96-3.10
Pt 0.4993 0.3743 0.6250  8 Pu 2.90-3.15
Pt 0.8750 0.1257 0.5007  8 Pu 2.90-3.15
Ge 0.0000 0.0000 0.0000  8 Pu 2.96-3.10
Pt 0.2507 0.6257 0.1250  8 Pu 2.90-3.15
Pu 0.1273 0.8976 0.3753  4 Pt 2.90-3.15, 2 Ge 2.96-3.10
Pu 0.7703 0.2481 0.8727  4 Pt 2.90-3.15, 2 Ge 2.96-3.10
Pt 0.3750 0.8743 0.7493  8 Pu 2.90-3.15
Pu 0.1253 0.3976 0.3773  4 Pt 2.90-3.15, 2 Ge 2.96-3.10
Pu 0.6247 0.7519 0.5222  4 Pt 2.90-3.15, 2 Ge 2.96-3.10
Pu 0.9797 0.6024 0.7278  4 Pt 2.90-3.15, 2 Ge 2.96-3.10
Pu 0.2722 0.2519 0.8747  4 Pt 2.90-3.15, 2 Ge 2.96-3.10

Calculated values
As for the space-group type: I-42d. The energy of formation from the pure elements is -0.56 eV/atom.


Computed, not measured: an optimized crystal structure of Pu2Ge3Pt9 at the PBE level of DFT.

Unit cell a=7.8574 b=7.8574 c=10.1334 alpha=90.80 beta=112.18 gamma=119.69
Last column: nearest neighbours and their distance in Å.
Positions (direct):
Pt 0.5520 0.0824 0.2624  2 Ge 2.48-2.56, 1 Pt 2.76
Ge 0.5000 0.5000 0.5000  8 Pt 2.56-2.71
Pt 0.7774 0.4790 0.4190  3 Ge 2.53-2.79, 1 Pt 2.76
Ge 0.8663 0.1848 0.5037  5 Pt 2.48-2.72
Pt 0.8678 0.0149 0.0689  2 Ge 2.64-2.83, 4 Pt 2.81-2.94
Pu 0.0071 0.4150 0.2504  11 Pt 2.98-3.27
Pt 0.1191 0.1403 0.4226  3 Ge 2.58-2.72, 2 Pt 2.74-2.80
Ge 0.8189 0.6374 0.0037  5 Pt 2.48-2.72
Pt 0.5539 0.2011 0.5689  2 Ge 2.64-2.83, 4 Pt 2.81-2.94
Ge 0.1337 0.8152 0.4963  5 Pt 2.48-2.72
Ge 0.1811 0.3626 0.9963  5 Pt 2.48-2.72
Pu 0.9929 0.5850 0.7496  11 Pt 2.98-3.27
Pt 0.4480 0.9176 0.7376  2 Ge 2.48-2.56, 1 Pt 2.76
Pt 0.1322 0.9851 0.9311  2 Ge 2.64-2.83, 4 Pt 2.81-2.94
Pt 0.4461 0.7989 0.4311  2 Ge 2.64-2.83, 4 Pt 2.81-2.94
Pt 0.5600 0.3584 0.0810  3 Ge 2.53-2.79, 1 Pt 2.76
Pt 0.8809 0.8597 0.5774  3 Ge 2.58-2.72, 2 Pt 2.74-2.80
Pt 0.4400 0.6416 0.9190  3 Ge 2.53-2.79, 1 Pt 2.76
Pt 0.3200 0.2896 0.2376  2 Ge 2.48-2.56, 1 Pt 2.76
Pt 0.6800 0.7104 0.7624  2 Ge 2.48-2.56, 1 Pt 2.76
Ge 0.5000 0.0000 0.0000  8 Pt 2.56-2.71
Pu 0.6646 0.7567 0.2496  11 Pt 2.98-3.27
Pt 0.2226 0.5210 0.5810  3 Ge 2.53-2.79, 1 Pt 2.76
Pt 0.2178 0.6966 0.0774  3 Ge 2.58-2.72, 2 Pt 2.74-2.80
Pt 0.8832 0.1332 0.7500  2 Ge 2.50, 2 Pt 2.74
Pt 0.1168 0.8668 0.2500  2 Ge 2.50, 2 Pt 2.74
Pu 0.3354 0.2433 0.7504  11 Pt 2.98-3.27
Pt 0.7822 0.3034 0.9226  3 Ge 2.58-2.72, 2 Pt 2.74-2.80

Calculated values
As for the space-group type: C2/c. The energy of formation from the pure elements is -0.60 eV/atom.


Computed, not measured: an optimized crystal structure of PuGePt3 at the PBE level of DFT.

Unit cell a=6.3436 b=6.3436 c=6.3436 alpha=64.68 beta=64.68 gamma=64.68
Last column: nearest neighbours and their distance in Å.
Positions (direct):
Pt 0.1761 0.8171 0.2672  2 Ge 2.41-2.55
Pt 0.8171 0.2672 0.1761  2 Ge 2.41-2.55
Pt 0.2672 0.1761 0.8171  2 Ge 2.41-2.55
Pu 0.7560 0.7560 0.7560  1 Ge 2.98, 6 Pt 3.00-3.11
Pt 0.3171 0.6761 0.7672  2 Ge 2.41-2.55
Pu 0.2560 0.2560 0.2560  1 Ge 2.98, 6 Pt 3.00-3.11
Pt 0.7672 0.3171 0.6761  2 Ge 2.41-2.55
Ge 0.9551 0.9551 0.9551  6 Pt 2.41-2.55
Pt 0.6761 0.7672 0.3171  2 Ge 2.41-2.55
Ge 0.4551 0.4551 0.4551  6 Pt 2.41-2.55

Calculated values
The calculation puts the distance to the lowest polymorph of the same formula at 100.0 kJ/mol of formula units. As for the space-group type: R3c. The energy of formation from the pure elements is -0.49 eV/atom.


Computed, not measured: an optimized crystal structure of Pu6Ge3Pt at the PBE level of DFT.

Unit cell a=7.0425 b=8.1827 c=8.1827 alpha=89.99 beta=90.00 gamma=90.00
Last column: nearest neighbours and their distance in Å.
Positions (direct):
Ge 0.4019 0.1722 0.1652  8 Pu 2.92-3.18
Pu 0.8793 0.4973 0.9986  3 Ge 3.02-3.09, 1 Pt 3.09, 1 Pu 3.25
Pu 0.8793 0.0014 0.5027  3 Ge 3.02-3.09, 1 Pt 3.09, 1 Pu 3.25
Ge 0.8510 0.6634 0.3366  1 Pt 2.67, 1 Pu 2.97
Ge 0.9019 0.8278 0.8348  8 Pu 2.92-3.18
Pu 0.3793 0.5027 0.0014  3 Ge 3.02-3.09, 1 Pt 3.09, 1 Pu 3.25
Ge 0.3510 0.3366 0.6634  1 Pt 2.67, 1 Pu 2.97
Ge 0.9019 0.1652 0.1722  8 Pu 2.92-3.18
Ge 0.4019 0.8348 0.8278  8 Pu 2.92-3.18
Pu 0.1428 0.1137 0.8863  1 Pt 2.80, 5 Ge 2.92-2.97, 1 Pu 3.04
Pu 0.6428 0.8863 0.1137  1 Pt 2.80, 5 Ge 2.92-2.97, 1 Pu 3.04
Pu 0.6480 0.1492 0.8508  5 Ge 3.01-3.18, 1 Pu 3.04, 1 Pt 3.11
Pt 0.9714 0.3322 0.6678  1 Ge 2.67, 1 Pu 2.80
Pt 0.4714 0.6678 0.3322  1 Ge 2.67, 1 Pu 2.80
Pu 0.6549 0.3342 0.4037  4 Ge 2.92-3.08, 2 Pu 3.03-3.25, 2 Pt 3.08-3.10
Pu 0.3793 0.9986 0.4973  3 Ge 3.02-3.09, 1 Pt 3.09, 1 Pu 3.25
Pu 0.1480 0.8508 0.1492  5 Ge 3.01-3.18, 1 Pu 3.04, 1 Pt 3.11
Pu 0.1549 0.4037 0.3342  4 Ge 2.92-3.08, 2 Pu 3.03-3.25, 2 Pt 3.08-3.10
Pu 0.1549 0.6658 0.5963  4 Ge 2.92-3.08, 2 Pu 3.03-3.25, 2 Pt 3.08-3.10
Pu 0.6549 0.5963 0.6658  4 Ge 2.92-3.08, 2 Pu 3.03-3.25, 2 Pt 3.08-3.10

Calculated values
As for the space-group type: Cmc2_1. The energy of formation from the pure elements is -0.36 eV/atom.


Computed, not measured: an optimized crystal structure of Pu3Ge4Pt2 at the PBE level of DFT.

Unit cell a=4.4053 b=5.7891 c=8.5075 alpha=110.56 beta=90.00 gamma=112.36
Last column: nearest neighbours and their distance in Å.
Positions (direct):
Pu 0.3745 0.7490 0.3178  8 Ge 2.99-3.34, 4 Pt 3.09-3.27, 1 Pu 3.24
Pu 0.6255 0.2510 0.6822  8 Ge 2.99-3.34, 4 Pt 3.09-3.27, 1 Pu 3.24
Pu 0.0000 0.0000 0.0000  8 Ge 3.12-3.25, 4 Pt 3.41
Pt 0.6629 0.3258 0.3180  4 Ge 2.48-2.72
Ge 0.0983 0.1967 0.4111  3 Pt 2.52-2.72
Pt 0.3371 0.6742 0.6820  4 Ge 2.48-2.72
Ge 0.2801 0.5602 0.9391  1 Pt 2.48, 2 Ge 2.62
Ge 0.7199 0.4398 0.0609  1 Pt 2.48, 2 Ge 2.62
Ge 0.9017 0.8033 0.5889  3 Pt 2.52-2.72

Calculated values
As for the space-group type: C2/m. The energy of formation from the pure elements is -0.63 eV/atom.


What did the eighth record say?
Computed, not measured: an optimized crystal structure of Pu3Ge4Pt2 at the PBE level of DFT.

Unit cell a=4.4053 b=5.7891 c=8.5075 alpha=110.56 beta=90.00 gamma=112.36
Last column: nearest neighbours and their distance in Å.
Positions (direct):
Pu 0.3745 0.7490 0.3178  8 Ge 2.99-3.34, 4 Pt 3.09-3.27, 1 Pu 3.24
Pu 0.6255 0.2510 0.6822  8 Ge 2.99-3.34, 4 Pt 3.09-3.27, 1 Pu 3.24
Pu 0.0000 0.0000 0.0000  8 Ge 3.12-3.25, 4 Pt 3.41
Pt 0.6629 0.3258 0.3180  4 Ge 2.48-2.72
Ge 0.0983 0.1967 0.4111  3 Pt 2.52-2.72
Pt 0.3371 0.6742 0.6820  4 Ge 2.48-2.72
Ge 0.2801 0.5602 0.9391  1 Pt 2.48, 2 Ge 2.62
Ge 0.7199 0.4398 0.0609  1 Pt 2.48, 2 Ge 2.62
Ge 0.9017 0.8033 0.5889  3 Pt 2.52-2.72

Calculated values
As for the space-group type: C2/m. The energy of formation from the pure elements is -0.63 eV/atom.